(1)
MnPd7Au3: relaxed, PBE.

Summary:
As for the crystal system: monoclinic. Its space group is No. 12. Its formation enthalpy at 0 K is 137 meV/atom. The calculation puts the density at 11.92 g/cm3. The density of states at the Fermi level is 1.166 states/eV/atom. As for the energy: -4.8954 eV/atom.

Cell: 6.6096 6.6096 4.9328 Å, 108.05 108.05 89.90°
With the nearest neighbours (Å) after each atom.
Element x y z (fractional)
Mn  0.0000  0.0000  0.0000  8 Pd 2.47-2.74
Pd  0.0000  0.0000  0.5000  2 Mn 2.47, 2 Au 2.69
Pd  0.0843  0.5807  0.8371  5 Pd 2.67-2.99, 4 Au 2.72-2.96, 1 Mn 2.74
Pd  0.2785  0.2785  0.4331  1 Mn 2.55, 3 Au 2.65-2.78, 3 Pd 2.68-2.77
Pd  0.4193  0.9157  0.1629  5 Pd 2.67-2.99, 4 Au 2.72-2.96, 1 Mn 2.74
Pd  0.5807  0.0843  0.8371  5 Pd 2.67-2.99, 4 Au 2.72-2.96, 1 Mn 2.74
Pd  0.7215  0.7215  0.5669  1 Mn 2.55, 3 Au 2.65-2.78, 3 Pd 2.68-2.77
Pd  0.9157  0.4193  0.1629  5 Pd 2.67-2.99, 4 Au 2.72-2.96, 1 Mn 2.74
Au  0.2884  0.7116  0.5000  9 Pd 2.69-2.96
Au  0.5000  0.5000  0.0000  6 Pd 2.65-2.72
Au  0.7116  0.2884  0.5000  9 Pd 2.69-2.96



(2)
RbBaTiF6: relaxed, PBE.

Summary:
As for the crystal system: trigonal. Its space group is No. 163. The calculation puts the density at 3.72 g/cm3. The calculation puts the formation energy without anion corrections at -3.369 eV per atom. The density of states at the Fermi level is 0.394 states/eV/atom. As for the energy: -5.8149 eV/atom.

Cell: 6.5894 6.5894 9.1346 Å, 90.00 90.00 120.00°
With the nearest neighbours (Å) after each atom.
Element x y z (fractional)
Rb  0.0000  0.0000  0.0000  6 F 2.79
Rb  0.0000  0.0000  0.5000  6 F 2.79
Ba  0.3333  0.6667  0.2500  6 F 2.66
Ba  0.6667  0.3333  0.7500  6 F 2.66
Ti  0.3333  0.6667  0.7500  6 F 2.00
Ti  0.6667  0.3333  0.2500  6 F 2.00
F  0.0702  0.4096  0.6368  1 Ti 2.00
F  0.0702  0.6607  0.8632  1 Ti 2.00
F  0.3393  0.4096  0.8632  1 Ti 2.00
F  0.3393  0.9298  0.6368  1 Ti 2.00
F  0.4096  0.0702  0.1368  1 Ti 2.00
F  0.4096  0.3393  0.3632  1 Ti 2.00
F  0.5904  0.6607  0.6368  1 Ti 2.00
F  0.5904  0.9298  0.8632  1 Ti 2.00
F  0.6607  0.0702  0.3632  1 Ti 2.00
F  0.6607  0.5904  0.1368  1 Ti 2.00
F  0.9298  0.3393  0.1368  1 Ti 2.00
F  0.9298  0.5904  0.3632  1 Ti 2.00



(3)
CuAsPd2: relaxed, PBE.

Summary:
As for the crystal system: tetragonal. Its space group is No. 122. Its formation enthalpy at 0 K is -33 meV/atom. The calculation puts the density at 9.03 g/cm3. The density of states at the Fermi level is 0.392 states/eV/atom. As for the energy: -4.8154 eV/atom.

Cell: 5.5916 5.5916 5.5916 Å, 103.37 103.37 122.52°
With the nearest neighbours (Å) after each atom.
Element x y z (fractional)
Cu  0.0000  0.0000  0.0000  4 Pd 2.63, 2 As 2.69
Cu  0.7500  0.2500  0.5000  4 Pd 2.63, 2 As 2.69
As  0.2500  0.7500  0.5000  4 Pd 2.46, 2 Cu 2.69
As  0.5000  0.5000  0.0000  4 Pd 2.46, 2 Cu 2.69
Pd  0.1426  0.1250  0.5176  2 As 2.46, 2 Cu 2.63, 2 Pd 2.70
Pd  0.3750  0.8574  0.9824  2 As 2.46, 2 Cu 2.63, 2 Pd 2.70
Pd  0.6074  0.6250  0.4824  2 As 2.46, 2 Cu 2.63, 2 Pd 2.70
Pd  0.8750  0.3926  0.0176  2 As 2.46, 2 Cu 2.63, 2 Pd 2.70



Q: density of number 2 (RbBaTiF6)?
A: 3.72 g/cm3